[1]
A plane-wave DFT calculation with PBE was carried out for a relaxed structure of DyYErAl.

a b c (Å): 5.339 5.339 5.339
angles (deg): 60.00 60.00 60.00
Fractional positions:
Y: 0.000 0.000 0.000
Dy: 0.500 0.500 0.500
Al: 0.750 0.750 0.750
Er: 0.250 0.250 0.250

space group	No. 216
N(E_F)	6.2	states/eV per cell
offset from the most stable computed form	0.1265	eV per atom
magnetic moment	0.036	μB per cell

[2]
A plane-wave DFT calculation with PBE was carried out for a relaxed structure of DyErAlZn.

a b c (Å): 5.056 5.056 5.056
angles (deg): 60.00 60.00 60.00
Fractional positions:
Zn: 0.000 0.000 0.000
Dy: 0.750 0.750 0.750
Al: 0.500 0.500 0.500
Er: 0.250 0.250 0.250

space group	No. 216
N(E_F)	2.8	states/eV per cell
offset from the most stable computed form	0.0070	eV per atom
magnetic moment	0.000	μB per cell

[3]
A plane-wave DFT calculation with PBE was carried out for a relaxed structure of DyEr2Al2Zn2.

a b c (Å): 4.498 4.498 9.318
angles (deg): 76.03 76.03 60.00
Fractional positions:
Dy: 0.000 0.000 0.000
Er: 0.128 0.128 0.617
Er: 0.872 0.872 0.383
Al: 0.737 0.737 0.788
Al: 0.263 0.263 0.212
Zn: 0.601 0.601 0.197
Zn: 0.399 0.399 0.803

space group	No. 166
electronic total energy	-25.906	eV per cell
N(E_F)	3.4	states/eV per cell
magnetic moment	0.000	μB per cell

[4]
A plane-wave DFT calculation with PBE was carried out for a relaxed structure of DyErAl2Zn2.

a b c (Å): 4.469 4.469 7.124
angles (deg): 90.00 90.00 120.00
Fractional positions:
Dy: 0.000 0.000 0.000
Er: 0.000 0.000 0.500
Al: 0.333 0.667 0.744
Al: 0.667 0.333 0.256
Zn: 0.333 0.667 0.258
Zn: 0.667 0.333 0.742

space group	No. 164
electronic total energy	-21.902	eV per cell
N(E_F)	3.1	states/eV per cell
magnetic moment	0.000	μB per cell

[5]
A plane-wave DFT calculation with PBE was carried out for a relaxed structure of DyErAlZn.

a b c (Å): 3.553 3.553 7.205
angles (deg): 90.00 90.00 90.00
Fractional positions:
Dy: 0.500 0.500 0.603
Er: 0.500 0.500 0.113
Al: 0.000 0.000 0.860
Zn: 0.000 0.000 0.352

space group	No. 99
N(E_F)	3.1	states/eV per cell
offset from the most stable computed form	0.0000	eV per atom
magnetic moment	0.000	μB per cell

[6]
A plane-wave DFT calculation with PBE was carried out for a relaxed structure of DyErZrAl.

a b c (Å): 5.150 5.150 5.150
angles (deg): 60.00 60.00 60.00
Fractional positions:
Dy: 0.750 0.750 0.750
Al: 0.500 0.500 0.500
Zr: 0.250 0.250 0.250
Er: 0.000 0.000 0.000

space group	No. 216
electronic total energy	-21.519	eV per cell
N(E_F)	7.6	states/eV per cell
magnetic moment	0.038	μB per cell